## TiReSbP2 (PBE)

Data for an optimized crystal structure of TiReSbP2.

## Properties
Energy relative to the elements, uncorrected (meV/atom): 1841
Raw total energy (eV per formula unit): -26.08

a b c (Å): 4.9190 4.9190 4.9014
angles (deg): 90.00 90.00 90.00
Space group P4/mmm (No. 123)
One atom of each set of equivalent atoms:
1 Ti 0.0000 0.0000 0.0000 [1 per cell]
2 Re 0.5000 0.5000 0.0000 [1 per cell]
3 Sb 0.5000 0.5000 0.5000 [1 per cell]
4 P 0.0000 0.5000 0.5000 [2 per cell]

## TlReSb2P (PBE)

Data for an optimized crystal structure of TlReSb2P.

## Properties
Energy relative to the elements, uncorrected (meV/atom): 825
Raw total energy (eV per formula unit): -24.34

a b c (Å): 5.4522 5.4522 4.4497
angles (deg): 90.00 90.00 90.00
Space group P4/mmm (No. 123)
One atom of each set of equivalent atoms:
1 Tl 0.0000 0.0000 0.0000 [1 per cell]
2 Re 0.5000 0.5000 0.0000 [1 per cell]
3 Sb 0.0000 0.5000 0.5000 [2 per cell]
4 P 0.5000 0.5000 0.5000 [1 per cell]

## ZrReSb2P (PBE)

Data for an optimized crystal structure of ZrReSb2P.

## Properties
Energy relative to the elements, uncorrected (meV/atom): 1582
Raw total energy (eV per formula unit): -26.74

a b c (Å): 5.4591 5.4591 4.9802
angles (deg): 90.00 90.00 90.00
Space group P4/mmm (No. 123)
One atom of each set of equivalent atoms:
1 Zr 0.0000 0.0000 0.0000 [1 per cell]
2 Re 0.0000 0.0000 0.5000 [1 per cell]
3 Sb 0.0000 0.5000 0.0000 [2 per cell]
4 P 0.5000 0.5000 0.5000 [1 per cell]

## ScRe3P (PBE)

Data for an optimized crystal structure of ScRe3P.

## Properties
Raw total energy (eV per formula unit): -35.34
Relative energy among the computed polymorphs (kJ/mol of atoms): 227.6

a b c (Å): 4.6189 4.6189 4.6189
angles (deg): 90.00 90.00 90.00
Space group Pm-3m (No. 221)
One atom of each set of equivalent atoms:
1 Sc 0.0000 0.0000 0.0000 [1 per cell]
2 Re 0.0000 0.0000 0.5000 [3 per cell]
3 P 0.5000 0.5000 0.5000 [1 per cell]

## ScReP (PBE)

Data for an optimized crystal structure of ScReP.

## Properties
Raw total energy (eV per formula unit): -25.68
Relative energy among the computed polymorphs (kJ/mol of atoms): 3.5

a b c (Å): 4.1033 4.1033 3.3964
angles (deg): 90.00 90.00 120.00
Space group P-6m2 (No. 187)
One atom of each set of equivalent atoms:
1 Sc 0.0000 0.0000 0.0000 [1 per cell]
2 Re 0.3333 0.6667 0.5000 [1 per cell]
3 P 0.6667 0.3333 0.5000 [1 per cell]

## ScReP (PBE)

Data for an optimized crystal structure of ScReP.

## Properties
Raw total energy (eV per formula unit): -25.79
Relative energy among the computed polymorphs (kJ/mol of atoms): 0.0

a b c (Å): 3.1155 3.1155 9.8933
angles (deg): 90.00 90.00 90.00
Space group I4mm (No. 107)
One atom of each set of equivalent atoms:
1 Sc 0.0000 0.0000 0.0000 [2 per cell]
2 Re 0.0000 0.0000 0.7007 [2 per cell]
3 P 0.0000 0.0000 0.3065 [2 per cell]

## ScRe2P (PBE)

Data for an optimized crystal structure of ScRe2P.

## Properties
Raw total energy (eV per formula unit): -37.59

a b c (Å): 3.0881 4.0830 5.0919
angles (deg): 90.00 102.69 90.00
Space group Pm (No. 6)
One atom of each set of equivalent atoms:
1 Sc 0.0000 0.0000 0.0000 [1 per cell]
2 Re 0.3238 0.5000 0.6715 [1 per cell]
3 Re 0.6500 0.0000 0.4782 [1 per cell]
4 P 0.5537 0.5000 0.1608 [1 per cell]

## ScRe2P (PBE)

Data for an optimized crystal structure of ScRe2P.

## Properties
Raw total energy (eV per formula unit): -36.37

a b c (Å): 3.9291 3.9291 7.8604
angles (deg): 90.00 90.00 90.00
Space group I-4m2 (No. 119)
One atom of each set of equivalent atoms:
1 Sc 0.0000 0.0000 0.0000 [2 per cell]
2 Re 0.0000 0.0000 0.5000 [2 per cell]
3 Re 0.0000 0.5000 0.2500 [2 per cell]
4 P 0.0000 0.5000 0.7500 [2 per cell]

## ScRe2P (PBE)

Data for an optimized crystal structure of ScRe2P.

## Properties
Raw total energy (eV per formula unit): -36.41

a b c (Å): 3.1943 4.7332 8.2327
angles (deg): 90.00 90.00 90.00
Space group Cmm2 (No. 35)
One atom of each set of equivalent atoms:
1 Sc 0.0000 0.0000 0.0000 [2 per cell]
2 Re 0.0000 0.0000 0.4648 [2 per cell]
3 Re 0.0000 0.5000 0.7251 [2 per cell]
4 P 0.0000 0.5000 0.2459 [2 per cell]

## ScRe2P (PBE)

Data for an optimized crystal structure of ScRe2P.

## Properties
Raw total energy (eV per formula unit): -36.61

a b c (Å): 3.6592 3.6592 9.4814
angles (deg): 90.00 90.00 90.00
Space group I4/mmm (No. 139)
One atom of each set of equivalent atoms:
1 Sc 0.0000 0.0000 0.0000 [2 per cell]
2 Re 0.0000 0.5000 0.2500 [4 per cell]
3 P 0.0000 0.0000 0.5000 [2 per cell]

## ScRe2P (PBE)

Data for an optimized crystal structure of ScRe2P.

## Properties
Raw total energy (eV per formula unit): -36.11

a b c (Å): 3.9175 3.9175 18.2124
angles (deg): 90.00 90.00 90.00
Space group I-42d (No. 122)
One atom of each set of equivalent atoms:
1 Sc 0.0000 0.0000 0.0000 [4 per cell]
2 Re 0.1799 0.2500 0.6250 [8 per cell]
3 P 0.0000 0.0000 0.5000 [4 per cell]

## ScRe2P (PBE)

Data for an optimized crystal structure of ScRe2P.

## Properties
Raw total energy (eV per formula unit): -36.20

a b c (Å): 3.1669 4.8820 8.1029
angles (deg): 90.00 90.00 90.00
Space group Cmmm (No. 65)
One atom of each set of equivalent atoms:
1 Sc 0.0000 0.0000 0.0000 [2 per cell]
2 Re 0.0000 0.5000 0.2843 [4 per cell]
3 P 0.0000 0.0000 0.5000 [2 per cell]

## ScRe2P (PBE)

Data for an optimized crystal structure of ScRe2P.

## Properties
Raw total energy (eV per formula unit): -37.35

a b c (Å): 9.3230 3.0269 4.7233
angles (deg): 90.00 111.98 90.00
Space group C2/m (No. 12)
One atom of each set of equivalent atoms:
1 Sc 0.0000 0.0000 0.0000 [2 per cell]
2 Re 0.2173 0.0000 0.7064 [4 per cell]
3 P 0.0000 0.5000 0.5000 [2 per cell]

## ScRe2P (PBE)

Data for an optimized crystal structure of ScRe2P.

## Properties
Raw total energy (eV per formula unit): -37.72

a b c (Å): 2.9528 2.9528 7.2110
angles (deg): 90.00 90.00 90.00
Space group P4mm (No. 99)
One atom of each set of equivalent atoms:
1 Sc 0.0000 0.0000 0.0000 [1 per cell]
2 Re 0.0000 0.0000 0.4694 [1 per cell]
3 Re 0.5000 0.5000 0.7179 [1 per cell]
4 P 0.5000 0.5000 0.2880 [1 per cell]

## ScRe2P (PBE)

Data for an optimized crystal structure of ScRe2P.

## Properties
Raw total energy (eV per formula unit): -36.59

a b c (Å): 3.6985 3.6985 4.5930
angles (deg): 90.00 90.00 90.00
Space group P4/mmm (No. 123)
One atom of each set of equivalent atoms:
1 Sc 0.0000 0.0000 0.0000 [1 per cell]
2 Re 0.0000 0.5000 0.5000 [2 per cell]
3 P 0.5000 0.5000 0.0000 [1 per cell]

## ScReP (PBE)

Data for an optimized crystal structure of ScReP.

## Properties
Raw total energy (eV per formula unit): -23.81
Relative energy among the computed polymorphs (kJ/mol of atoms): 63.6

a b c (Å): 5.9813 5.9813 5.9813
angles (deg): 90.00 90.00 90.00
Space group F-43m (No. 216)
One atom of each set of equivalent atoms:
1 Sc 0.0000 0.0000 0.0000 [4 per cell]
2 Re 0.2500 0.2500 0.2500 [4 per cell]
3 P 0.0000 0.0000 0.5000 [4 per cell]

## ScRe3P (PBE)

Data for an optimized crystal structure of ScRe3P.

## Properties
Raw total energy (eV per formula unit): -47.13
Relative energy among the computed polymorphs (kJ/mol of atoms): 0.0

a b c (Å): 4.4184 4.4184 4.4184
angles (deg): 90.00 90.00 90.00
Space group Pm-3m (No. 221)
One atom of each set of equivalent atoms:
1 Sc 0.0000 0.0000 0.0000 [1 per cell]
2 Re 0.0000 0.5000 0.5000 [3 per cell]
3 P 0.5000 0.5000 0.5000 [1 per cell]

## ScRe2P (PBE)

Data for an optimized crystal structure of ScRe2P.

## Properties
Raw total energy (eV per formula unit): -37.06

a b c (Å): 2.9311 4.1026 5.1328
angles (deg): 90.00 90.00 90.00
Space group Pmm2 (No. 25)
One atom of each set of equivalent atoms:
1 Sc 0.0000 0.0000 0.0000 [1 per cell]
2 Re 0.0000 0.0000 0.4995 [1 per cell]
3 Re 0.5000 0.5000 0.7026 [1 per cell]
4 P 0.5000 0.5000 0.2300 [1 per cell]

## ScReP4 (PBE)

Data for an optimized crystal structure of ScReP4.

## Properties
Raw total energy (eV per formula unit): -37.57

a b c (Å): 7.0523 7.0523 7.0523
angles (deg): 90.00 90.00 90.00
Space group F-43m (No. 216)
One atom of each set of equivalent atoms:
1 Sc 0.0000 0.0000 0.0000 [4 per cell]
2 Re 0.2500 0.2500 0.2500 [4 per cell]
3 P 0.1245 0.1245 0.6245 [16 per cell]

## ScReP (PBE)

Data for an optimized crystal structure of ScReP.

## Properties
Raw total energy (eV per formula unit): -25.36
Relative energy among the computed polymorphs (kJ/mol of atoms): 14.0

a b c (Å): 3.3275 3.3275 5.3640
angles (deg): 90.00 90.00 120.00
Space group P3m1 (No. 156)
One atom of each set of equivalent atoms:
1 Sc 0.0000 0.0000 0.0000 [1 per cell]
2 Re 0.6667 0.3333 0.5751 [1 per cell]
3 P 0.3333 0.6667 0.3263 [1 per cell]